Entry 1:
The following is a DFT calculation (PBE) of KOsIO4 after structural relaxation.

Cell: 7.4410 7.4410 7.4659 Å, 101.64 101.64 67.15°
Atoms (fractional coordinates):
K 0.2402 0.2402 0.1380
K 0.7598 0.7598 0.8620
Os 0.3753 0.3753 0.7440
Os 0.6247 0.6247 0.2560
I 0.0130 0.0130 0.7313
I 0.9870 0.9870 0.2687
O 0.1555 0.4976 0.8380
O 0.3265 0.3265 0.5054
O 0.4800 0.4800 0.1998
O 0.4976 0.1555 0.8380
O 0.5024 0.8445 0.1620
O 0.5200 0.5200 0.8002
O 0.6735 0.6735 0.4946
O 0.8445 0.5024 0.1620

VASP energy = -82.55 eV per cell
ΔE_f (raw) = -1.08 eV/atom

---

Entry 2:
The following is a DFT calculation (PBE) of PaFe2SiN after structural relaxation.

Cell: 5.6955 5.6955 6.6453 Å, 90.00 90.00 142.76°
Atoms (fractional coordinates):
Pa 0.0558 0.9442 0.7500
Pa 0.9442 0.0558 0.2500
Fe 0.3352 0.6648 0.5523
Fe 0.3352 0.6648 0.9477
Fe 0.6648 0.3352 0.0523
Fe 0.6648 0.3352 0.4477
Si 0.2239 0.7761 0.2500
Si 0.7761 0.2239 0.7500
N 0.5000 0.5000 0.0000
N 0.5000 0.5000 0.5000

VASP energy = -88.23 eV per cell
ΔE_f (raw) = -0.79 eV/atom

---

Entry 3:
The following is a DFT calculation (PBE) of AlInCl after structural relaxation.

Cell: 7.7130 7.7130 7.7130 Å, 156.33 156.33 33.72°
Atoms (fractional coordinates):
Al 0.0000 0.0000 0.0000
In 0.6595 0.6595 0.0000
Cl 0.3912 0.3912 0.0000

energy above the most stable polymorph in this dataset = 162 meV/atom
VASP energy = -8.83 eV per cell
ΔE_f (raw) = -0.17 eV/atom

---

Entry 4:
The following is a DFT calculation (PBE) of K2CdNiCl6 after structural relaxation.

Cell: 12.8938 12.8938 12.8938 Å, 31.91 31.91 31.91°
Atoms (fractional coordinates):
K 0.1267 0.1267 0.1267
K 0.3000 0.3000 0.3000
K 0.7000 0.7000 0.7000
K 0.8733 0.8733 0.8733
Cd 0.4134 0.4134 0.4134
Cd 0.5866 0.5866 0.5866
Ni 0.0000 0.0000 0.0000
Ni 0.5000 0.5000 0.5000
Cl 0.1415 0.6215 0.6215
Cl 0.1981 0.1981 0.7198
Cl 0.1981 0.7198 0.1981
Cl 0.2802 0.8019 0.8019
Cl 0.3785 0.3785 0.8585
Cl 0.3785 0.8585 0.3785
Cl 0.6215 0.1415 0.6215
Cl 0.6215 0.6215 0.1415
Cl 0.7198 0.1981 0.1981
Cl 0.8019 0.2802 0.8019
Cl 0.8019 0.8019 0.2802
Cl 0.8585 0.3785 0.3785

VASP energy = -64.98 eV per cell
ΔE_f (raw) = -1.25 eV/atom

---

Question: The lowest VASP energy belongs to which entry?
Answer: PaFe2SiN